[1]
# Cs2KTeS (PBE-GGA, optimized geometry)
data_Cs2KTeS
_symmetry_space_group_name_H-M 'P 4/m m m'
_symmetry_Int_Tables_number 123
_symmetry_space_group_name_Hall '-P 4 2'
_cell_length_a 6.6103
_cell_length_b 6.6103
_cell_length_c 6.0094
_cell_angle_alpha 90.00
_cell_angle_beta 90.00
_cell_angle_gamma 90.00
loop_
_atom_site_label
_atom_site_fract_x
_atom_site_fract_y
_atom_site_fract_z
_atom_site_occupancy
Cs1 0.0000 0.5000 0.0000 1
K1 0.0000 0.0000 0.5000 1
Te1 0.5000 0.5000 0.5000 1
S1 0.0000 0.0000 0.0000 1
# - Size of the total moment: 1.1 μB per formula unit
# - Fermi-level density of states: 10.184 states/eV/cell
# - ΔE_f (raw): -753 meV/atom

[2]
# Tb2SmY4Mg (PBE-GGA, optimized geometry)
data_Tb2SmY4Mg
_symmetry_space_group_name_H-M 'P 4/m m m'
_symmetry_Int_Tables_number 123
_symmetry_space_group_name_Hall '-P 4 2'
_cell_length_a 4.9833
_cell_length_b 4.9833
_cell_length_c 10.0992
_cell_angle_alpha 90.00
_cell_angle_beta 90.00
_cell_angle_gamma 90.00
loop_
_atom_site_label
_atom_site_fract_x
_atom_site_fract_y
_atom_site_fract_z
_atom_site_occupancy
Tb1 0.0000 0.0000 0.0000 1
Tb2 0.5000 0.5000 0.5000 1
Sm1 0.0000 0.0000 0.5000 1
Y1 0.0000 0.5000 0.2460 1
Mg1 0.5000 0.5000 0.0000 1
# - Size of the total moment: 0.0 μB per formula unit
# - Fermi-level density of states: 12.477 states/eV/cell
# - DFT formation energy: 0.02 eV per atom